No. 1
Below is a geometry-optimized KRbBa2Au structure, with properties calculated at the PBE level.

abc: 6.504 6.504 7.113
angles: 90.00 90.00 90.00
Space group P4/mmm (No. 123)
One atom of each set of equivalent atoms:
K1 0.000 0.000 0.000 [1 per cell]
Rb1 0.500 0.500 0.000 [1 per cell]
Ba1 0.000 0.500 0.500 [2 per cell]
Au1 0.500 0.500 0.500 [1 per cell]

Results
Its crystal system is tetragonal. The calculated formation energy comes out at -0.21 eV/atom.

No. 2
Below is a geometry-optimized KRbBa2Au structure, with properties calculated at the PBE level.

abc: 6.503 6.503 7.001
angles: 90.00 90.00 90.00
Space group P4/mmm (No. 123)
One atom of each set of equivalent atoms:
K1 0.000 0.000 0.000 [1 per cell]
Rb1 0.500 0.500 0.000 [1 per cell]
Ba1 0.000 0.500 0.500 [2 per cell]
Au1 0.000 0.000 0.500 [1 per cell]

Results
Its crystal system is tetragonal. The calculated formation energy comes out at -0.21 eV/atom.

No. 3
Below is a geometry-optimized KBaAuSe2 structure, with properties calculated at the PBE level.

abc: 9.182 16.231 5.342
angles: 90.00 90.00 90.00
Space group Cmme (No. 67)
One atom of each set of equivalent atoms:
K1 0.000 0.250 0.218 [4 per cell]
Ba1 0.250 0.000 0.500 [4 per cell]
Au1 0.000 0.000 0.000 [4 per cell]
Se1 0.000 0.123 0.733 [8 per cell]

Results
Its crystal system is orthorhombic. The value obtained for the formation energy (no corrections) is -1.167 eV/atom.